The following is a DFT calculation (PBE) of an optimized crystal structure of Th2Cu3Ni5.

## Properties
ΔE_f	-0.251	eV/atom

CIF file:
```
data_Th2Cu3Ni5
_chemical_formula_sum 'Th8 Cu12 Ni20'
_cell_length_a 9.400
_cell_length_b 12.680
_cell_length_c 5.247
_cell_angle_alpha 90.00
_cell_angle_beta 90.00
_cell_angle_gamma 90.00
_space_group_name_H-M_alt 'I b a m'
_space_group_IT_number 72
_space_group_name_Hall '-I 2 2c'
loop_
_atom_site_label
_atom_site_fract_x
_atom_site_fract_y
_atom_site_fract_z
Th1 0.238 0.128 0.000
Cu1 0.000 0.500 0.250
Cu2 0.075 0.154 0.500
Ni1 0.000 0.000 0.250
Ni2 0.000 0.306 0.250
Ni3 0.180 0.395 0.000
```